Ho2TmSb3: optimized geometry, PBE-GGA.

Unit cell a=4.3581 b=6.1590 c=7.5465 alpha=114.08 beta=106.78 gamma=90.00
With the nearest neighbours (Å) after each atom.
Positions (direct):
1 Ho 0.8329 0.8329 0.1659  6 Sb 3.08-3.09
2 Sb 0.5000 0.0000 0.5000  2 Tm 3.08, 4 Ho 3.09
3 Tm 0.5000 0.5000 0.5000  6 Sb 3.07-3.08
4 Sb 0.1654 0.6654 0.8308  2 Tm 3.07, 4 Ho 3.08-3.09
5 Ho 0.1671 0.1671 0.8341  6 Sb 3.08-3.09
6 Sb 0.8346 0.3346 0.1692  2 Tm 3.07, 4 Ho 3.08-3.09

Computed properties:
E_tot   -32.6 eV for the cell shown
Density of states at the Fermi level   1.2 states/eV/f.u.
Crystal system   orthorhombic
Symmetry   Immm (71)
ΔE_f (raw)   -1.10 eV/atom

---

Sr2MgOs: optimized geometry, PBE-GGA.

Unit cell a=10.9232 b=10.9232 c=8.1441 alpha=47.89 beta=47.89 gamma=90.00
With the nearest neighbours (Å) after each atom.
Positions (direct):
1 Os 0.7500 0.2500 0.5000  2 Mg 2.58
2 Os 0.0000 0.0000 0.0000  2 Mg 2.58
3 Sr 0.9542 0.6250 0.2500  2 Os 2.94
4 Sr 0.3750 0.2042 0.7500  2 Os 2.94
5 Mg 0.5000 0.5000 0.0000  2 Os 2.58
6 Sr 0.7958 0.1250 0.2500  2 Os 2.94
7 Sr 0.8750 0.0458 0.7500  2 Os 2.94
8 Mg 0.2500 0.7500 0.5000  2 Os 2.58

Computed properties:
E_tot   -27.9 eV for the cell shown
Density of states at the Fermi level   1.2 states/eV/f.u.
Crystal system   tetragonal
Symmetry   I-42d (122)

---

Li7Mg3Hg4: optimized geometry, PBE-GGA.

Unit cell a=4.5848 b=7.7180 c=8.1009 alpha=92.38 beta=73.56 gamma=72.72
With the nearest neighbours (Å) after each atom.
Positions (direct):
1 Hg 0.2939 0.6246 0.7876  6 Li 2.77-3.02, 2 Mg 3.01
2 Mg 0.7042 0.8703 0.7212  5 Hg 2.94-3.04, 6 Li 2.95-3.21, 1 Mg 3.02
3 Li 0.5803 0.7589 0.0805  6 Li 2.70-3.02, 2 Mg 2.95-3.02
4 Mg 0.2958 0.1297 0.2788  5 Hg 2.94-3.04, 6 Li 2.95-3.21, 1 Mg 3.02
5 Li 0.0000 0.0000 0.0000  4 Hg 2.81-3.02, 4 Li 3.02
6 Li 0.5919 0.2631 0.5531  5 Hg 2.77-3.01, 1 Li 2.87, 2 Mg 2.94
7 Li 0.4197 0.2411 0.9195  6 Li 2.70-3.02, 2 Mg 2.95-3.02
8 Li 0.1511 0.5606 0.1372  3 Li 2.70-2.79, 4 Hg 2.71-2.82, 1 Mg 2.91
9 Hg 0.7061 0.3754 0.2124  6 Li 2.77-3.02, 2 Mg 3.01
10 Mg 0.0000 0.5000 0.5000  6 Li 2.91-2.94, 2 Mg 3.02, 4 Hg 3.24
11 Hg 0.1143 0.1055 0.6660  5 Li 2.71-3.00, 3 Mg 2.94-3.04
12 Li 0.4081 0.7369 0.4469  5 Hg 2.77-3.01, 1 Li 2.87, 2 Mg 2.94
13 Hg 0.8857 0.8945 0.3340  5 Li 2.71-3.00, 3 Mg 2.94-3.04
14 Li 0.8489 0.4394 0.8628  3 Li 2.70-2.79, 4 Hg 2.71-2.82, 1 Mg 2.91

Computed properties:
E_tot   -23.3 eV for the cell shown
Density of states at the Fermi level   4.9 states/eV/f.u.
Crystal system   monoclinic
Symmetry   C2/m (12)